--- A ---
# SmTmSe3

An optimized crystal structure of SmTmSe3 (PBE-GGA, Alexandria).

```
SmTmSe3
1.0
4.0689 0.0000 0.0000
0.0000 8.0446 0.5216
0.0000 -1.2642 8.1224
Sm Tm Se
2 2 6
Direct
0.2500 0.3795 0.2283
0.7500 0.6205 0.7717
0.2500 0.8537 0.3252
0.7500 0.1463 0.6748
0.7500 0.6242 0.3900
0.2500 0.3758 0.6100
0.7500 0.3146 0.9757
0.2500 0.8993 0.6794
0.2500 0.6854 0.0243
0.7500 0.1007 0.3206
```

Calculated values
Total magnetic moment = 0.0 μB/f.u.
Symmetry = P2_1/m


--- B ---
# SmTmSe3

An optimized crystal structure of SmTmSe3 (PBE-GGA, Alexandria).

```
SmTmSe3
1.0
-1.3889 1.4931 3.5428
-1.7366 -7.1139 2.3174
14.5873 -1.4931 6.3481
Sm Tm Se
4 4 12
Direct
0.7500 0.8601 0.7989
0.2500 0.1399 0.2011
0.7500 0.3601 0.7011
0.2500 0.6399 0.2989
0.2500 0.2712 0.9578
0.2500 0.7712 0.5422
0.7500 0.2288 0.4578
0.7500 0.7288 0.0422
0.2500 0.3785 0.5628
0.7500 0.8476 0.2151
0.7500 0.4908 0.8947
0.7500 0.9908 0.6053
0.7500 0.6215 0.4372
0.2500 0.0092 0.3947
0.2500 0.8785 0.9372
0.7500 0.3476 0.2849
0.2500 0.6524 0.7151
0.2500 0.1524 0.7849
0.7500 0.1215 0.0628
0.2500 0.5092 0.1053
```

Calculated values
Total magnetic moment = 0.0 μB/f.u.
Symmetry = Pnma


The most stable of them is B.


--- A ---
# SmTm6Se8

An optimized crystal structure of SmTm6Se8 (PBE-GGA, Alexandria).

```
SmTm6Se8
1.0
-1.6822 -8.2806 -1.5069
6.3100 -5.8041 0.4062
0.4530 -5.4890 5.2130
Sm Tm Se
1 6 8
Direct
0.0000 0.0000 0.0000
0.4581 0.0790 0.7626
0.9210 0.2998 0.2374
0.2998 0.5419 0.2374
0.7002 0.4581 0.7626
0.0790 0.7002 0.7626
0.5419 0.9210 0.2374
0.6287 0.1960 0.2764
0.8040 0.1011 0.7236
0.1011 0.3713 0.7236
0.6751 0.6751 0.9747
0.3249 0.3249 0.0253
0.8989 0.6287 0.2764
0.1960 0.8989 0.2764
0.3713 0.8040 0.7236
```

Calculated values
Total magnetic moment = 0.0 μB/f.u.
Symmetry = R-3


--- B ---
# SmTm6Se8

An optimized crystal structure of SmTm6Se8 (PBE-GGA, Alexandria).

```
SmTm6Se8
1.0
-3.9779 -6.9609 -0.3393
2.1457 -5.5911 -5.3412
3.5347 -6.7658 2.4744
Sm Tm Se
1 6 8
Direct
0.0000 0.0000 0.0000
0.0000 0.5000 0.5000
0.5000 0.0000 0.0000
0.5000 0.5000 0.0000
0.0000 0.0000 0.5000
0.0000 0.5000 0.0000
0.5000 0.0000 0.5000
0.7500 0.7500 0.7500
0.2500 0.2500 0.2500
0.7399 0.2601 0.2601
0.2601 0.7399 0.7399
0.2601 0.2601 0.7399
0.7399 0.7399 0.2601
0.7399 0.2601 0.7399
0.2601 0.7399 0.2601
```

Calculated values
Total magnetic moment = 0.0 μB/f.u.
Symmetry = Fm-3m


The most stable of them is B.


--- A ---
# SmTm2Se4

An optimized crystal structure of SmTm2Se4 (PBE-GGA, Alexandria).

```
SmTm2Se4
1.0
7.1304 0.0000 4.1098
2.4532 6.6330 3.9841
0.0712 0.0396 8.1168
Sm Tm Se
2 4 8
Direct
0.5000 0.5000 0.0000
0.0000 0.5000 0.0000
0.0000 0.0000 0.0000
0.0000 0.0000 0.5000
0.0000 0.5000 0.5000
0.5000 0.0000 0.5000
0.2526 0.2395 0.2553
0.7474 0.2447 0.2605
0.2526 0.7553 0.7395
0.7474 0.7605 0.7447
0.7545 0.7540 0.2540
0.7625 0.2460 0.7460
0.2375 0.7540 0.2540
0.2455 0.2460 0.7460
```

Calculated values
Total magnetic moment = 0.0 μB/f.u.
Symmetry = Imma


--- B ---
# SmTm2Se4

An optimized crystal structure of SmTm2Se4 (PBE-GGA, Alexandria).

```
SmTm2Se4
1.0
3.9765 0.0000 0.0000
-1.9882 6.6575 0.0000
0.0000 0.0000 13.7352
Sm Tm Se
2 4 8
Direct
0.6252 0.2504 0.7500
0.3748 0.7496 0.2500
0.1305 0.2609 0.4316
0.8695 0.7391 0.9316
0.1305 0.2609 0.0684
0.8695 0.7391 0.5684
0.7742 0.5485 0.1193
0.7742 0.5485 0.3807
0.2258 0.4515 0.8807
0.2258 0.4515 0.6193
0.9619 0.9238 0.7500
0.0381 0.0762 0.2500
0.5000 0.0000 0.0000
0.5000 0.0000 0.5000
```

Calculated values
Total magnetic moment = 0.0 μB/f.u.
Symmetry = Cmcm


The most stable of them is A.


--- A ---
# Sm2TmSe4

An optimized crystal structure of Sm2TmSe4 (PBE-GGA, Alexandria).

```
Sm2TmSe4
1.0
-5.6341 4.2956 4.1476
0.2229 0.2575 8.1611
2.0667 6.9823 3.7008
Sm Tm Se
4 2 8
Direct
0.0000 0.0000 0.0000
0.0000 0.0000 0.5000
0.0000 0.5000 0.5000
0.5000 0.0000 0.5000
0.5000 0.5000 0.0000
0.0000 0.5000 0.0000
0.2580 0.2502 0.2339
0.7420 0.2661 0.2498
0.2580 0.7339 0.7502
0.7420 0.7498 0.7661
0.7527 0.7459 0.2459
0.7444 0.2541 0.7541
0.2556 0.7459 0.2459
0.2473 0.2541 0.7541
```

Calculated values
Total magnetic moment = 0.0 μB/f.u.
Symmetry = Imma


--- B ---
# Sm2TmSe4

An optimized crystal structure of Sm2TmSe4 (PBE-GGA, Alexandria).

```
Sm2TmSe4
1.0
3.9730 0.0000 0.0000
-1.9865 6.8751 0.0000
0.0000 0.0000 13.9767
Sm Tm Se
4 2 8
Direct
0.1300 0.2599 0.4287
0.8700 0.7401 0.9287
0.1300 0.2599 0.0713
0.8700 0.7401 0.5713
0.6281 0.2563 0.7500
0.3719 0.7437 0.2500
0.7807 0.5615 0.1256
0.7807 0.5615 0.3744
0.2193 0.4385 0.8744
0.2193 0.4385 0.6256
0.9796 0.9593 0.7500
0.0204 0.0407 0.2500
0.5000 0.0000 0.0000
0.5000 0.0000 0.5000
```

Calculated values
Total magnetic moment = 0.0 μB/f.u.
Symmetry = Cmcm


The most stable of them is A.


--- A ---
# Sm3USe6

An optimized crystal structure of Sm3USe6 (PBE-GGA, Alexandria).

```
Sm3USe6
1.0
4.1536 0.0000 0.0000
0.0000 11.1254 -3.7898
0.0000 0.0454 12.0319
Sm U Se
6 2 12
Direct
0.7500 0.4265 0.8329
0.2500 0.5735 0.1671
0.7500 0.6803 0.5022
0.2500 0.3197 0.4978
0.7500 0.1587 0.0805
0.2500 0.8413 0.9195
0.7500 0.0443 0.6919
0.2500 0.9557 0.3081
0.7500 0.4820 0.6171
0.2500 0.5180 0.3829
0.7500 0.9169 0.1028
0.2500 0.0831 0.8972
0.7500 0.3983 0.0663
0.2500 0.6017 0.9337
0.7500 0.7517 0.2795
0.2500 0.2483 0.7205
0.7500 0.1099 0.4628
0.2500 0.8901 0.5372
0.7500 0.8108 0.7488
0.2500 0.1892 0.2512
```

Calculated values
Total magnetic moment = 2.9 μB/f.u.
Symmetry = P2_1/m


--- B ---
# Sm3USe6

An optimized crystal structure of Sm3USe6 (PBE-GGA, Alexandria).

```
Sm3USe6
1.0
7.2238 0.0000 0.0000
0.0000 9.0424 0.0431
0.0000 -1.9758 8.8240
Sm U Se
6 2 12
Direct
0.4851 0.9151 0.7071
0.9851 0.7071 0.9151
0.3787 0.4047 0.5953
0.8787 0.5953 0.4047
0.9851 0.0849 0.2929
0.4851 0.2929 0.0849
0.9975 0.1663 0.8337
0.4975 0.8337 0.1663
0.1760 0.6980 0.6315
0.6760 0.6315 0.6980
0.2034 0.4340 0.9028
0.7034 0.9028 0.4340
0.2528 0.0073 0.9927
0.6277 0.2306 0.7694
0.1277 0.7694 0.2306
0.7528 0.9927 0.0073
0.2034 0.0972 0.5660
0.7034 0.5660 0.0972
0.1760 0.3685 0.3020
0.6760 0.3020 0.3685
```

Calculated values
Total magnetic moment = 3.0 μB/f.u.
Symmetry = Cmc2_1


The most stable of them is A.


--- A ---
# SmUSe3

An optimized crystal structure of SmUSe3 (PBE-GGA, Alexandria).

```
SmUSe3
1.0
4.1681 0.0000 0.0000
-2.0840 3.6097 0.0000
0.0000 0.0000 20.4494
Sm U Se
2 2 6
Direct
0.6667 0.3333 0.2837
0.3333 0.6667 0.7837
0.0000 0.0000 0.9641
0.0000 0.0000 0.4641
0.0000 0.0000 0.7126
0.0000 0.0000 0.2126
0.6667 0.3333 0.8780
0.3333 0.6667 0.3780
0.3333 0.6667 0.0367
0.6667 0.3333 0.5367
```

Calculated values
Total magnetic moment = 3.0 μB/f.u.
Symmetry = P6_3mc


--- B ---
# SmUSe3

An optimized crystal structure of SmUSe3 (PBE-GGA, Alexandria).

```
SmUSe3
1.0
4.0743 0.0000 0.0000
0.0000 7.8000 0.0000
0.0000 0.0000 16.0724
Sm U Se
4 4 12
Direct
0.7500 0.8913 0.7929
0.2500 0.1087 0.2071
0.7500 0.3913 0.7071
0.2500 0.6087 0.2929
0.2500 0.2648 0.9618
0.2500 0.7648 0.5382
0.7500 0.2352 0.4618
0.7500 0.7352 0.0382
0.2500 0.3794 0.5698
0.7500 0.8299 0.2181
0.7500 0.4930 0.8966
0.7500 0.9930 0.6034
0.7500 0.6206 0.4302
0.2500 0.0070 0.3966
0.2500 0.8794 0.9302
0.7500 0.3299 0.2819
0.2500 0.6701 0.7181
0.2500 0.1701 0.7819
0.7500 0.1206 0.0698
0.2500 0.5070 0.1034
```

Calculated values
Total magnetic moment = 2.8 μB/f.u.
Symmetry = Pnma


The most stable of them is B.


--- A ---
# SmYSe2

An optimized crystal structure of SmYSe2 (PBE-GGA, Alexandria).

```
SmYSe2
1.0
7.2109 -0.0133 -0.0082
6.0479 3.9268 -0.0082
6.0479 1.7851 3.4976
Y Se Sm
1 2 1
Direct
0.5000 0.5000 0.5000
0.2474 0.2474 0.2474
0.7526 0.7526 0.7526
0.0000 0.0000 0.0000
```

Calculated values
Total magnetic moment = 0.0 μB/f.u.
Symmetry = R-3m


--- B ---
# SmYSe2

An optimized crystal structure of SmYSe2 (PBE-GGA, Alexandria).

```
SmYSe2
1.0
4.0186 0.0000 0.0000
2.0093 3.4802 0.0000
2.0093 1.1601 7.2110
Sm Y Se
1 1 2
Direct
0.6719 0.6719 0.9844
0.4948 0.4948 0.5157
0.0842 0.0842 0.7473
0.2491 0.2491 0.2527
```

Calculated values
Total magnetic moment = 0.0 μB/f.u.
Symmetry = R3m


The most stable of them is A.


--- A ---
# SmY3Se4

An optimized crystal structure of SmY3Se4 (PBE-GGA, Alexandria).

```
SmY3Se4
1.0
7.1330 0.0720 0.0000
-2.4323 6.7247 0.0000
0.0000 0.0000 8.1468
Y Se Sm
6 8 2
Direct
0.7500 0.0000 0.3732
0.2500 0.0000 0.6268
0.7500 0.5000 0.6262
0.7500 0.5000 0.1237
0.2500 0.5000 0.3738
0.2500 0.5000 0.8763
0.0027 0.2523 0.6219
0.4999 0.2556 0.8721
0.5027 0.2523 0.3781
0.9999 0.2556 0.1279
0.0001 0.7444 0.8721
0.4973 0.7477 0.6219
0.5001 0.7444 0.1279
0.9973 0.7477 0.3781
0.7500 0.0000 0.8763
0.2500 0.0000 0.1237
```

Calculated values
Total magnetic moment = 0.0 μB/f.u.
Symmetry = P2/c


--- B ---
# SmY3Se4

An optimized crystal structure of SmY3Se4 (PBE-GGA, Alexandria).

```
SmY3Se4
1.0
5.8137 0.0000 0.0000
0.0000 5.8137 0.0000
0.0000 0.0000 5.8137
Sm Y Se
1 3 4
Direct
0.0000 0.0000 0.0000
0.0000 0.5000 0.5000
0.5000 0.0000 0.5000
0.5000 0.5000 0.0000
0.5000 0.0000 0.0000
0.0000 0.5000 0.0000
0.0000 0.0000 0.5000
0.5000 0.5000 0.5000
```

Calculated values
Total magnetic moment = 0.0 μB/f.u.
Symmetry = Pm-3m


The most stable of them is A.


--- A ---
# SmY4Se5

An optimized crystal structure of SmY4Se5 (PBE-GGA, Alexandria).

```
SmY4Se5
1.0
-7.6410 1.4580 14.9533
-10.9558 0.3200 12.8055
-8.4411 -2.5312 14.3685
Y Se Sm
4 5 1
Direct
0.5994 0.5994 0.5994
0.1995 0.1995 0.1995
0.8005 0.8005 0.8005
0.4006 0.4006 0.4006
0.7015 0.7015 0.7015
0.1006 0.1006 0.1006
0.5000 0.5000 0.5000
0.2985 0.2985 0.2985
0.8994 0.8994 0.8994
0.0000 0.0000 0.0000
```

Calculated values
Total magnetic moment = 0.0 μB/f.u.
Symmetry = R-3m


--- B ---
# SmY4Se5

An optimized crystal structure of SmY4Se5 (PBE-GGA, Alexandria).

```
SmY4Se5
1.0
-2.6523 2.8012 1.3835
1.3155 -0.6448 3.8274
10.7385 9.3024 -4.3178
Sm Y Se
1 4 5
Direct
0.0000 0.0000 0.0000
0.4024 0.4024 0.8047
0.7963 0.7963 0.5927
0.2037 0.2037 0.4073
0.5976 0.5976 0.1953
0.1026 0.1026 0.2051
0.5000 0.5000 0.0000
0.8974 0.8974 0.7949
0.3024 0.3024 0.6049
0.6976 0.6976 0.3951
```

Calculated values
Total magnetic moment = 0.0 μB/f.u.
Symmetry = I4/mmm


The most stable of them is A.


--- A ---
# SmY2Se

An optimized crystal structure of SmY2Se (PBE-GGA, Alexandria).

```
SmY2Se
1.0
3.8142 0.0000 0.0000
1.9071 3.3032 0.0000
1.9071 1.1011 9.4917
Sm Y Se
1 2 1
Direct
0.4996 0.4996 0.5012
0.0648 0.0648 0.8055
0.2688 0.2688 0.1936
0.6667 0.6667 0.9998
```

Calculated values
Total magnetic moment = 0.6 μB/f.u.
Symmetry = R3m


--- B ---
# SmY2Se

An optimized crystal structure of SmY2Se (PBE-GGA, Alexandria).

```
SmY2Se
1.0
3.7399 0.0000 0.0000
1.8700 3.2389 0.0000
1.8700 1.0796 10.3701
Y Se Sm
2 1 1
Direct
0.1091 0.1091 0.6728
0.8909 0.8909 0.3272
0.5000 0.5000 0.5000
0.0000 0.0000 0.0000
```

Calculated values
Total magnetic moment = 0.7 μB/f.u.
Symmetry = R-3m


The most stable of them is A.